# 1
Density functional theory data (GGA-PBE) for a relaxed structure of SrSn2W.

Values from the calculation:
Energy relative to the lowest polymorph listed for this composition (meV per atom): 0
Total moment (μB per formula unit): 1.71
Energy relative to the elements (eV/f.u.): 1.8

a = 7.246 Å, b = 7.246 Å, c = 7.246 Å
α = 90.00°, β = 90.00°, γ = 90.00°
Space group Fm-3m (No. 225)
Asymmetric unit:
Sr: 0.000 0.000 0.000 x4
Sn: 0.250 0.250 0.250 x8
W: 0.000 0.000 0.500 x4

=====

# 2
Density functional theory data (GGA-PBE) for a relaxed structure of Pm2CuI.

Values from the calculation:
Energy relative to the lowest polymorph listed for this composition (meV per atom): 113
Formation energy (no corrections) (kJ/mol of formula units): -149
Total moment (μB per formula unit): 0.00

a = 3.601 Å, b = 3.601 Å, c = 8.327 Å
α = 90.00°, β = 90.00°, γ = 90.00°
Space group P4/mmm (No. 123)
Asymmetric unit:
Pm: 0.000 0.000 0.216 x2
Cu: 0.500 0.500 0.000 x1
I: 0.500 0.500 0.500 x1

=====

# 3
Density functional theory data (GGA-PBE) for a relaxed structure of Re3SBr.

Values from the calculation:
Formation energy (no corrections) (kJ/mol of formula units): 1348
Total moment (μB per formula unit): 1.71

a = 4.587 Å, b = 4.587 Å, c = 4.587 Å
α = 90.00°, β = 90.00°, γ = 90.00°
Space group Pm-3m (No. 221)
Asymmetric unit:
Re: 0.000 0.000 0.500 x3
S: 0.500 0.500 0.500 x1
Br: 0.000 0.000 0.000 x1

=====

# 4
Density functional theory data (GGA-PBE) for a relaxed structure of Ho2In5Ga.

Values from the calculation:
Total moment (μB per formula unit): 0.00
Energy relative to the elements (eV/f.u.): -3.2

a = 6.498 Å, b = 13.009 Å, c = 4.544 Å
α = 90.00°, β = 90.00°, γ = 90.00°
Space group Pbam (No. 55)
Asymmetric unit:
Ho: 0.236 0.120 0.000 x4
In: 0.000 0.500 0.500 x2
In: 0.012 0.752 0.500 x4
In: 0.242 0.374 0.000 x4
Ga: 0.000 0.000 0.500 x2

=====

# 5
Density functional theory data (GGA-PBE) for a relaxed structure of Sm4YEr10.

Values from the calculation:
Total moment (μB per formula unit): 0.00
Energy relative to the elements (eV/f.u.): 11.4

a = 12.155 Å, b = 12.155 Å, c = 7.673 Å
α = 90.00°, β = 90.00°, γ = 90.00°
Space group I4/m (No. 87)
Asymmetric unit:
Sm: 0.101 0.299 0.000 x8
Y: 0.000 0.000 0.500 x2
Er: 0.000 0.500 0.250 x4
Er: 0.099 0.800 0.250 x16

=====

# 6
Density functional theory data (GGA-PBE) for a relaxed structure of Ho2Th2Co3.

Values from the calculation:
Energy relative to the lowest polymorph listed for this composition (meV per atom): 0
Total moment (μB per formula unit): 0.00
Energy relative to the elements (eV/f.u.): -1.6

a = 3.724 Å, b = 6.707 Å, c = 6.941 Å
α = 78.93°, β = 74.57°, γ = 73.95°
Space group P-1 (No. 2)
Asymmetric unit:
Ho: 0.061 0.247 0.131 x2
Th: 0.317 0.262 0.605 x2
Co: 0.000 0.000 0.500 x1
Co: 0.382 0.545 0.190 x2